[1]
Density functional theory data (PBE) for a geometry-optimized Tm6Bi3Au structure.

magnetization	0.000	μB per cell
D(E_F)	12.02	states/eV/cell
crystal system	orthorhombic
DFT formation energy	-10.701	kcal/mol of atoms
symmetry	Cmc2_1

Geometry as POSCAR:
```
Tm6Bi3Au
1.0
-4.252 -4.587 3.041
6.784 -6.765 -0.717
0.867 4.715 8.326
Tm Bi Au
12 6 2
Direct
0.098 0.767 0.632 Tm
0.598 0.632 0.767 Tm
0.235 0.435 0.899 Tm
0.735 0.899 0.435 Tm
0.286 0.988 0.012 Tm
0.700 0.245 0.755 Tm
0.200 0.755 0.245 Tm
0.786 0.012 0.988 Tm
0.235 0.101 0.565 Tm
0.735 0.565 0.101 Tm
0.098 0.368 0.233 Tm
0.598 0.233 0.368 Tm
0.502 0.921 0.713 Bi
0.002 0.713 0.921 Bi
0.275 0.436 0.564 Bi
0.775 0.564 0.436 Bi
0.002 0.079 0.287 Bi
0.502 0.287 0.079 Bi
0.055 0.152 0.848 Au
0.555 0.848 0.152 Au
```

[2]
Density functional theory data (PBE) for a geometry-optimized La4SbSe2 structure.

magnetization	0.000	μB per cell
D(E_F)	11.44	states/eV/cell
crystal system	tetragonal
ΔE_f (raw)	-941	kJ/mol of formula units
symmetry	I4_1/amd

Geometry as POSCAR:
```
La4SbSe2
1.0
-5.230 -5.298 3.856
5.471 -4.442 -4.542
3.951 4.586 5.801
La Sb Se
8 2 4
Direct
0.819 0.140 0.321 La
0.819 0.679 0.497 La
0.181 0.503 0.321 La
0.181 0.679 0.860 La
0.319 0.071 0.390 La
0.319 0.247 0.929 La
0.681 0.071 0.753 La
0.681 0.610 0.929 La
0.500 0.750 0.250 Sb
0.000 0.000 0.000 Sb
0.750 0.375 0.125 Se
0.250 0.875 0.625 Se
0.250 0.375 0.625 Se
0.750 0.375 0.625 Se
```

[3]
Density functional theory data (PBE) for a geometry-optimized Tb2Zn2Cd3 structure.

magnetization	0.356	μB per cell
D(E_F)	5.89	states/eV/cell
crystal system	orthorhombic
DFT formation energy	-5.649	kcal/mol of atoms
symmetry	Cmmm
energy above the most stable polymorph in this dataset	45	meV per atom

Geometry as POSCAR:
```
Tb2Zn2Cd3
1.0
3.463 0.000 0.000
0.000 4.439 0.000
0.000 -2.220 10.351
Tb Zn Cd
2 2 3
Direct
0.000 0.837 0.673 Tb
0.000 0.163 0.327 Tb
0.500 0.717 0.434 Zn
0.500 0.283 0.566 Zn
0.500 0.575 0.149 Cd
0.500 0.425 0.851 Cd
0.000 0.000 0.000 Cd
```

[4]
Density functional theory data (PBE) for a geometry-optimized BP2Pd8 structure.

magnetization	0.000	μB per cell
D(E_F)	3.92	states/eV/cell
crystal system	monoclinic
DFT formation energy	-6.758	kcal/mol of atoms
symmetry	C2/m

Geometry as POSCAR:
```
BP2Pd8
1.0
-3.229 -2.396 -0.765
3.022 -4.434 1.130
-1.724 3.743 6.509
B P Pd
1 2 8
Direct
0.500 0.000 0.000 B
0.830 0.305 0.660 P
0.170 0.695 0.340 P
0.414 0.591 0.827 Pd
0.671 0.967 0.342 Pd
0.797 0.677 0.593 Pd
0.966 0.193 0.931 Pd
0.203 0.323 0.407 Pd
0.329 0.033 0.658 Pd
0.586 0.409 0.173 Pd
0.034 0.807 0.069 Pd
```

[5]
Density functional theory data (PBE) for a geometry-optimized MgZrP structure.

magnetization	0.000	μB per cell
D(E_F)	1.80	states/eV/cell
crystal system	trigonal
DFT formation energy	-11.748	kcal/mol of atoms
symmetry	R-3m
energy above the most stable polymorph in this dataset	0	meV per atom

Geometry as POSCAR:
```
MgZrP
1.0
4.436 0.000 0.000
2.218 3.842 0.000
2.218 1.281 6.954
Zr P Mg
2 2 2
Direct
0.623 0.623 0.132 Zr
0.377 0.377 0.868 Zr
0.251 0.251 0.247 P
0.749 0.749 0.753 P
0.874 0.874 0.378 Mg
0.126 0.126 0.622 Mg
```

[6]
Density functional theory data (PBE) for a geometry-optimized Pr4NiSn structure.

magnetization	0.001	μB per cell
D(E_F)	16.52	states/eV/cell
crystal system	orthorhombic
DFT formation energy	-6.296	kcal/mol of atoms
symmetry	Cmc2_1
energy above the most stable polymorph in this dataset	73	meV per atom

Geometry as POSCAR:
```
Pr4NiSn
1.0
-2.101 3.880 3.200
-5.955 -3.001 -0.272
3.487 -7.531 6.780
Pr Ni Sn
8 2 2
Direct
0.903 0.322 0.806 Pr
0.097 0.822 0.194 Pr
0.453 0.822 0.906 Pr
0.547 0.322 0.094 Pr
0.697 0.570 0.393 Pr
0.303 0.070 0.607 Pr
0.697 0.074 0.393 Pr
0.303 0.574 0.607 Pr
0.584 0.823 0.168 Ni
0.416 0.323 0.832 Ni
0.850 0.822 0.699 Sn
0.150 0.322 0.301 Sn
```

[7]
Density functional theory data (PBE) for a geometry-optimized AcPm2Sm3Se6 structure.

magnetization	0.000	μB per cell
D(E_F)	5.93	states/eV/cell
crystal system	monoclinic
ΔE_f (raw)	-2110	kJ/mol of formula units
symmetry	C2/m

Geometry as POSCAR:
```
AcPm2Sm3Se6
1.0
-2.461 -2.192 6.545
-1.091 -4.156 -5.936
7.200 -1.114 0.966
Ac Pm Sm Se
1 2 3 6
Direct
0.000 0.000 0.000 Ac
0.332 0.668 0.000 Pm
0.668 0.332 0.000 Pm
0.163 0.837 0.500 Sm
0.837 0.163 0.500 Sm
0.500 0.500 0.500 Sm
0.913 0.571 0.740 Se
0.742 0.742 0.255 Se
0.087 0.429 0.260 Se
0.571 0.913 0.740 Se
0.258 0.258 0.745 Se
0.429 0.087 0.260 Se
```

[8]
Density functional theory data (PBE) for a geometry-optimized CeVSi2Ru structure.

magnetization	1.627	μB per cell
D(E_F)	6.86	states/eV/cell
crystal system	tetragonal
ΔE_f (raw)	-322	kJ/mol of formula units
symmetry	I-4m2

Geometry as POSCAR:
```
CeVSi2Ru
1.0
-3.859 1.200 0.362
-1.132 -3.840 0.656
3.187 1.994 4.630
Ce V Si Ru
1 1 2 1
Direct
0.000 0.000 0.000 Ce
0.750 0.250 0.500 V
0.618 0.618 0.236 Si
0.382 0.382 0.764 Si
0.250 0.750 0.500 Ru
```

[9]
Density functional theory data (PBE) for a geometry-optimized LiMgPtF6 structure.

magnetization	2.000	μB per cell
D(E_F)	13.02	states/eV/cell
crystal system	trigonal
ΔE_f (raw)	-1971	kJ/mol of formula units
symmetry	P-31c

Geometry as POSCAR:
```
LiMgPtF6
1.0
5.316 0.000 0.000
-2.658 4.604 0.000
0.000 0.000 8.978
Li Mg Pt F
2 2 2 12
Direct
0.000 0.000 0.000 Li
0.000 0.000 0.500 Li
0.333 0.667 0.250 Mg
0.667 0.333 0.750 Mg
0.667 0.333 0.250 Pt
0.333 0.667 0.750 Pt
0.655 0.666 0.130 F
0.011 0.345 0.130 F
0.345 0.011 0.630 F
0.989 0.655 0.870 F
0.334 0.345 0.370 F
0.011 0.666 0.370 F
0.666 0.011 0.870 F
0.655 0.989 0.370 F
0.989 0.334 0.630 F
0.334 0.989 0.130 F
0.666 0.655 0.630 F
0.345 0.334 0.870 F
```

[10]
Density functional theory data (PBE) for a geometry-optimized SrZrNi2W structure.

magnetization	1.579	μB per cell
D(E_F)	3.88	states/eV/cell
crystal system	tetragonal
DFT formation energy	25.345	kcal/mol of atoms
symmetry	P4/mmm

Geometry as POSCAR:
```
SrZrNi2W
1.0
4.864 0.000 0.000
0.000 4.952 0.000
0.000 0.000 4.864
Sr Zr W Ni
1 1 1 2
Direct
0.500 0.500 0.500 Sr
0.000 0.000 0.000 Zr
0.000 0.500 0.000 W
0.000 0.000 0.500 Ni
0.500 0.000 0.000 Ni
```

[11]
Density functional theory data (PBE) for a geometry-optimized CeZnGaAu2 structure.

magnetization	0.947	μB per cell
D(E_F)	8.57	states/eV/cell
crystal system	tetragonal
DFT formation energy	-11.792	kcal/mol of atoms
symmetry	I-4m2

Geometry as POSCAR:
```
CeZnGaAu2
1.0
-3.754 1.449 1.143
-1.751 -1.975 -3.246
1.916 -4.589 4.454
Ce Zn Ga Au
1 1 1 2
Direct
0.000 0.000 0.000 Ce
0.750 0.250 0.500 Zn
0.250 0.750 0.500 Ga
0.615 0.615 0.229 Au
0.385 0.385 0.771 Au
```

[12]
Density functional theory data (PBE) for a geometry-optimized Ca4GaH structure.

magnetization	0.000	μB per cell
D(E_F)	9.40	states/eV/cell
crystal system	orthorhombic
symmetry	Cmcm
raw total energy	-31.8	eV for the cell shown

Geometry as POSCAR:
```
Ca4GaH
1.0
6.011 -0.123 0.000
-0.601 5.982 0.000
0.000 0.000 9.964
Ca Ga H
8 2 2
Direct
0.759 0.147 0.250 Ca
0.241 0.853 0.750 Ca
0.147 0.759 0.250 Ca
0.853 0.241 0.750 Ca
0.720 0.720 0.542 Ca
0.280 0.280 0.042 Ca
0.720 0.720 0.958 Ca
0.280 0.280 0.458 Ca
0.386 0.386 0.750 Ga
0.614 0.614 0.250 Ga
0.862 0.862 0.750 H
0.138 0.138 0.250 H
```

[13]
Density functional theory data (PBE) for a geometry-optimized PuUIrPd structure.

magnetization	8.019	μB per cell
D(E_F)	11.17	states/eV/cell
crystal system	cubic
DFT formation energy	-8.111	kcal/mol of atoms
symmetry	F-43m
energy above the most stable polymorph in this dataset	189	meV per atom

Geometry as POSCAR:
```
PuUIrPd
1.0
4.890 0.000 0.000
2.445 4.235 0.000
2.445 1.412 3.993
Ir U Pd Pu
1 1 1 1
Direct
0.000 0.000 0.000 Ir
0.250 0.250 0.250 U
0.500 0.500 0.500 Pd
0.750 0.750 0.750 Pu
```

[14]
Density functional theory data (PBE) for a geometry-optimized K2BaOsO4 structure.

magnetization	2.000	μB per cell
D(E_F)	6.51	states/eV/cell
crystal system	tetragonal
ΔE_f (raw)	-1240	kJ/mol of formula units
symmetry	I-4m2

Geometry as POSCAR:
```
K2BaOsO4
1.0
-4.579 3.517 0.429
-0.890 -5.225 2.330
4.611 1.861 2.965
K Ba Os O
2 1 1 4
Direct
0.500 0.750 0.250 K
0.000 0.000 0.000 K
0.500 0.250 0.750 Ba
0.000 0.500 0.500 Os
0.576 0.288 0.289 O
0.001 0.288 0.712 O
0.999 0.711 0.287 O
0.424 0.713 0.712 O
```

[15]
Density functional theory data (PBE) for a geometry-optimized DyHo3ErSc structure.

magnetization	0.000	μB per cell
D(E_F)	20.43	states/eV/cell
crystal system	monoclinic
DFT formation energy	4.304	kcal/mol of atoms
symmetry	C2/m

Geometry as POSCAR:
```
DyHo3ErSc
1.0
-3.033 -0.396 4.457
10.050 -3.132 3.283
0.641 6.404 1.005
Dy Ho Er Sc
2 6 2 2
Direct
0.072 0.144 0.193 Dy
0.928 0.856 0.807 Dy
0.839 0.678 0.237 Ho
0.772 0.545 0.689 Ho
0.475 0.951 0.237 Ho
0.228 0.455 0.311 Ho
0.525 0.049 0.763 Ho
0.161 0.322 0.763 Ho
0.334 0.668 0.963 Er
0.666 0.332 0.037 Er
0.632 0.264 0.470 Sc
0.368 0.736 0.530 Sc
```

[16]
Density functional theory data (PBE) for a geometry-optimized BaCa2SmCd4 structure.

magnetization	0.000	μB per cell
D(E_F)	7.90	states/eV/cell
crystal system	trigonal
DFT formation energy	-7.419	kcal/mol of atoms
symmetry	R-3m

Geometry as POSCAR:
```
BaCa2SmCd4
1.0
-0.056 0.775 5.490
-4.794 -0.197 2.779
-0.503 -8.803 4.038
Ba Ca Sm Cd
1 2 1 4
Direct
0.000 0.000 0.000 Ba
0.752 0.752 0.744 Ca
0.248 0.248 0.256 Ca
0.500 0.500 0.500 Sm
0.382 0.382 0.853 Cd
0.871 0.871 0.388 Cd
0.129 0.129 0.612 Cd
0.618 0.618 0.147 Cd
```

[17]
Density functional theory data (PBE) for a geometry-optimized LiRu3 structure.

magnetization	0.000	μB per cell
D(E_F)	4.52	states/eV/cell
crystal system	monoclinic
DFT formation energy	5.365	kcal/mol of atoms
symmetry	P2/m

Geometry as POSCAR:
```
LiRu3
1.0
-3.586 1.775 -0.045
-1.166 -2.343 0.522
-0.240 -0.356 5.141
Li Ru
1 3
Direct
0.000 0.000 0.000 Li
0.500 0.827 0.764 Ru
0.000 0.500 0.500 Ru
0.500 0.173 0.236 Ru
```

[18]
Density functional theory data (PBE) for a geometry-optimized Er2Be2SiO7 structure.

magnetization	0.000	μB per cell
D(E_F)	0.00	states/eV/cell
crystal system	tetragonal
ΔE_f (raw)	-3691	kJ/mol of formula units
symmetry	P-42_1m

Geometry as POSCAR:
```
Er2Be2SiO7
1.0
7.291 0.000 0.000
0.000 7.291 0.000
0.000 0.000 4.765
Er Be Si O
4 4 2 14
Direct
0.158 0.342 0.509 Er
0.842 0.658 0.509 Er
0.658 0.158 0.491 Er
0.342 0.842 0.491 Er
0.637 0.863 0.959 Be
0.363 0.137 0.959 Be
0.137 0.637 0.041 Be
0.863 0.363 0.041 Be
0.000 0.000 0.000 Si
0.500 0.500 0.000 Si
0.000 0.500 0.185 O
0.500 0.000 0.815 O
0.641 0.859 0.292 O
0.359 0.141 0.292 O
0.141 0.641 0.708 O
0.859 0.359 0.708 O
0.083 0.838 0.202 O
0.917 0.162 0.202 O
0.162 0.083 0.798 O
0.417 0.338 0.798 O
0.838 0.917 0.798 O
0.583 0.662 0.798 O
0.338 0.583 0.202 O
0.662 0.417 0.202 O
```

[19]
Density functional theory data (PBE) for a geometry-optimized SrHf3Br structure.

magnetization	0.000	μB per cell
D(E_F)	6.10	states/eV/cell
crystal system	cubic
ΔE_f (raw)	265	kJ/mol of formula units
symmetry	Pm-3m
energy above the most stable polymorph in this dataset	0	meV per atom

Geometry as POSCAR:
```
SrHf3Br
1.0
-2.776 4.152 -1.136
-4.126 -2.952 -0.708
-1.229 0.531 4.944
Sr Hf Br
1 3 1
Direct
0.500 0.500 0.500 Sr
0.000 0.500 0.000 Hf
0.000 0.000 0.500 Hf
0.500 0.000 0.000 Hf
0.000 0.000 0.000 Br
```

[20]
Density functional theory data (PBE) for a geometry-optimized CeSm5Y6 structure.

magnetization	1.134	μB per cell
D(E_F)	19.68	states/eV/cell
crystal system	monoclinic
DFT formation energy	0.794	kcal/mol of atoms
symmetry	C2/m

Geometry as POSCAR:
```
CeSm5Y6
1.0
5.143 0.000 3.534
2.572 5.399 1.767
1.968 0.000 15.516
Y Sm Ce
6 5 1
Direct
0.585 0.331 0.249 Y
0.084 0.331 0.751 Y
0.746 0.000 0.751 Y
0.254 0.000 0.249 Y
0.916 0.669 0.249 Y
0.415 0.669 0.751 Y
0.167 0.665 0.500 Sm
0.333 0.333 0.000 Sm
0.500 0.000 0.500 Sm
0.667 0.667 0.000 Sm
0.833 0.335 0.500 Sm
0.000 0.000 0.000 Ce
```

[21]
Density functional theory data (PBE) for a geometry-optimized BeCoP2 structure.

magnetization	0.000	μB per cell
D(E_F)	2.38	states/eV/cell
crystal system	orthorhombic
DFT formation energy	-1.479	kcal/mol of atoms
symmetry	Pmm2

Geometry as POSCAR:
```
BeCoP2
1.0
-0.726 -1.923 -1.417
1.264 -2.075 2.168
-5.628 -0.171 3.116
P Co Be
2 1 1
Direct
0.000 0.000 0.894 P
0.500 0.500 0.356 P
0.500 0.500 0.715 Co
0.000 0.000 0.535 Be
```

[22]
Density functional theory data (PBE) for a geometry-optimized CaMnPbI6 structure.

magnetization	9.999	μB per cell
D(E_F)	0.00	states/eV/cell
crystal system	trigonal
ΔE_f (raw)	-737	kJ/mol of formula units
symmetry	P-31c

Geometry as POSCAR:
```
CaMnPbI6
1.0
-5.797 4.252 -2.810
-1.510 -6.501 3.879
-0.485 7.318 12.076
Ca Mn Pb I
2 2 2 12
Direct
0.333 0.667 0.250 Ca
0.667 0.333 0.750 Ca
0.667 0.333 0.250 Mn
0.333 0.667 0.750 Mn
0.000 0.000 0.000 Pb
0.000 0.000 0.500 Pb
0.658 0.636 0.130 I
0.978 0.342 0.130 I
0.342 0.978 0.630 I
0.022 0.658 0.870 I
0.364 0.342 0.370 I
0.978 0.636 0.370 I
0.636 0.978 0.870 I
0.658 0.022 0.370 I
0.022 0.364 0.630 I
0.364 0.022 0.130 I
0.636 0.658 0.630 I
0.342 0.364 0.870 I
```